Computed, not measured: a geometry-optimized NaCaScZnSi4O12 structure at the PBE level of DFT.

Summary:
V, Å³/cell: 233.33
E_form (uncorrected), kJ per mole of atoms: -266.0
Total moment, μB per atom: 0.00
DOS at the Fermi energy, states/eV/atom: 0.000

Cell lengths 6.750, 6.750, 5.365 Å; angles 102.17, 102.17, 84.78 degrees
Fractional coordinates of all 20 atoms:
Na1 0.000 0.000 0.000
Ca1 0.600 0.400 0.500
Sc1 0.199 0.801 0.500
Zn1 0.400 0.600 0.000
Si1 0.102 0.321 0.510
Si2 0.499 0.078 0.988
Si3 0.679 0.898 0.490
Si4 0.922 0.501 0.012
O1 0.099 0.664 0.107
O2 0.189 0.091 0.440
O3 0.269 0.496 0.598
O4 0.336 0.901 0.893
O5 0.416 0.309 0.072
O6 0.504 0.731 0.402
O7 0.636 0.065 0.757
O8 0.658 0.039 0.263
O9 0.691 0.584 0.928
O10 0.909 0.811 0.560
O11 0.935 0.364 0.243
O12 0.961 0.342 0.737



Computed, not measured: a geometry-optimized V4Ge2Ir structure at the PBE level of DFT.

Summary:
V, Å³/cell: 205.20
Offset from the most stable computed form, kcal/mol of atoms: 0.000
Energy relative to the elements, meV/atom: -209
Total moment, μB per atom: 0.00
DOS at the Fermi energy, states/eV/atom: 0.939

Cell lengths 6.416, 6.416, 7.004 Å; angles 121.93, 121.93, 80.28 degrees
Fractional coordinates of all 14 atoms:
V1 0.058 0.317 0.746
V2 0.062 0.062 0.234
V3 0.282 0.539 0.594
V4 0.461 0.718 0.406
V5 0.569 0.047 0.887
V6 0.683 0.942 0.254
V7 0.938 0.938 0.766
V8 0.953 0.431 0.113
Ge1 0.123 0.877 0.500
Ge2 0.343 0.231 0.174
Ge3 0.502 0.498 0.000
Ge4 0.769 0.657 0.826
Ir1 0.573 0.197 0.603
Ir2 0.803 0.427 0.397



Computed, not measured: a geometry-optimized BeFeHg2 structure at the PBE level of DFT.

Summary:
V, Å³/cell: 66.94
Energy relative to the elements, meV/atom: 334
Total moment, μB per atom: 0.48
DOS at the Fermi energy, states/eV/atom: 0.624

Cell lengths 2.992, 3.187, 7.019 Å; angles 90.00, 90.12, 90.00 degrees
Fractional coordinates of all 4 atoms:
Be1 0.000 0.000 0.000
Fe1 0.500 0.500 0.074
Hg1 0.001 0.000 0.355
Hg2 0.004 0.500 0.715



Computed, not measured: a geometry-optimized FeCuPt2 structure at the PBE level of DFT.

Summary:
V, Å³/cell: 56.32
Energy relative to the elements, meV/atom: -125
Total moment, μB per atom: 0.91
DOS at the Fermi energy, states/eV/atom: 0.653

Cell lengths 2.704, 4.169, 5.172 Å; angles 90.00, 104.98, 90.00 degrees
Fractional coordinates of all 4 atoms:
Fe1 0.000 0.000 0.000
Cu1 0.850 0.500 0.721
Pt1 0.254 0.000 0.523
Pt2 0.594 0.500 0.197